1.
Li4Ho3GeS8 GGA-PBE optimized geometry; E_tot = -5.213 eV per atom; formation energy from raw total energies = -1.524 eV/atom; magnetic moment = 0.000 μB/cell
1.0
-2.327 7.331 0.119
-7.154 -2.252 -1.105
4.125 -2.822 5.846
S Ho Li Ge
8 3 4 1
Cartesian
-0.300 -0.139 2.670
-5.879 0.087 -0.774
-3.897 -1.270 2.037
1.732 -1.637 5.572
0.524 2.170 5.634
-1.459 3.527 2.823
-7.088 3.894 -0.712
-5.056 2.395 2.190
-4.740 2.539 -0.493
-1.514 -2.537 2.370
-2.678 1.128 2.430
0.000 0.000 0.000
2.062 -1.411 2.923
0.899 2.255 2.983
-1.163 3.666 0.060
-3.577 -1.126 -0.552

=====

2.
La2SmC GGA-PBE optimized geometry; energy above the most stable polymorph in this dataset = 0.00 kcal/mol of atoms; E_tot = -5.980 eV per atom; formation energy from the elements = -0.12 eV per formula unit; magnetic moment = 0.000 μB/cell
1.0
-4.203 2.889 -0.939
0.205 -2.020 -7.133
-1.569 -5.792 3.518
La Sm C
4 2 2
Cartesian
-4.522 -3.522 -4.920
-4.624 -2.512 -1.354
-1.045 -1.401 0.366
-0.942 -2.411 -3.200
-1.948 -0.070 -5.819
-2.050 0.939 -2.253
0.153 -1.515 -5.350
-4.151 2.384 -2.722

=====

3.
CaBeTl2 GGA-PBE optimized geometry; energy above the most stable polymorph in this dataset = 2.31 kcal/mol of atoms; E_tot = -2.449 eV per atom; formation energy from the elements = 0.67 eV per formula unit; magnetic moment = 0.000 μB/cell
1.0
-4.887 -2.511 -1.025
1.201 -3.211 -4.414
1.644 0.521 5.316
Tl Ca Be
2 1 1
Cartesian
-1.680 -2.609 -2.480
-0.163 -0.252 -0.240
-2.543 -2.426 0.786
0.501 -2.776 -0.909

=====

4.
Be3MoCl GGA-PBE optimized geometry; energy above the most stable polymorph in this dataset = 0.00 kcal/mol of atoms; E_tot = -3.552 eV per atom; formation energy from raw total energies = 1.219 eV/atom; magnetic moment = 0.000 μB/cell
1.0
4.016 0.000 0.000
0.000 4.016 0.000
0.000 0.000 4.016
Be Mo Cl
3 1 1
Cartesian
0.000 2.008 0.000
2.008 0.000 0.000
0.000 0.000 2.008
2.008 2.008 2.008
0.000 0.000 0.000

=====

5.
LiBe2Ir GGA-PBE optimized geometry; E_tot = -4.554 eV per atom; formation energy from the elements = 0.01 eV per formula unit; magnetic moment = 0.000 μB/cell
1.0
8.067 0.003 0.002
7.608 2.680 0.002
7.608 1.302 2.342
Be Li Ir
2 1 1
Cartesian
11.848 2.027 1.193
23.078 3.949 2.325
17.463 2.988 1.759
5.821 0.996 0.586

=====

6.
Na2CdGaAu GGA-PBE optimized geometry; E_tot = -1.998 eV per atom; formation energy from the elements = -0.13 eV per formula unit; magnetic moment = 0.000 μB/cell
1.0
5.592 0.000 0.000
0.000 5.592 0.000
0.000 0.000 4.850
Na Au Ga Cd
2 1 1 1
Cartesian
0.000 2.796 0.000
2.796 0.000 0.000
0.000 0.000 0.000
0.000 0.000 2.425
2.796 2.796 2.425

=====

7.
PmY4Mg GGA-PBE optimized geometry; energy above the most stable polymorph in this dataset = 0.00 kcal/mol of atoms; E_tot = -5.385 eV per atom; formation energy from the elements = -0.11 eV per formula unit; magnetic moment = 0.000 μB/cell
1.0
-1.770 -2.558 1.872
2.995 -0.646 1.948
-4.074 9.769 9.501
Y Mg Pm
4 1 1
Cartesian
-2.738 6.432 9.723
-2.639 6.327 6.154
-0.111 0.133 3.598
-1.435 3.442 3.347
-1.425 3.283 6.661
0.000 0.000 0.000

=====

8.
MnMo4Ir GGA-PBE optimized geometry; E_tot = -9.877 eV per atom; formation energy from the elements = 2.09 eV per formula unit; magnetic moment = 2.824 μB/cell
1.0
0.000 3.643 3.643
3.643 0.000 3.643
3.643 3.643 0.000
Mo Mn Ir
4 1 1
Cartesian
4.564 4.564 4.564
2.721 2.721 4.564
4.564 2.721 2.721
2.721 4.564 2.721
0.000 0.000 0.000
1.821 1.821 1.821

=====

9.
Zr3ZnCl GGA-PBE optimized geometry; energy above the most stable polymorph in this dataset = 0.00 kcal/mol of atoms; E_tot = -5.705 eV per atom; formation energy from raw total energies = 0.048 eV/atom; magnetic moment = 0.000 μB/cell
1.0
4.777 0.000 0.000
0.000 4.777 0.000
0.000 0.000 4.777
Zn Zr Cl
1 3 1
Cartesian
2.388 2.388 2.388
0.000 0.000 2.388
0.000 2.388 0.000
2.388 0.000 0.000
0.000 0.000 0.000

=====

10.
Li2GaSnRh GGA-PBE optimized geometry; E_tot = -3.605 eV per atom; formation energy from the elements = 0.18 eV per formula unit; magnetic moment = 0.000 μB/cell
1.0
-1.954 0.365 -4.227
3.153 -3.506 -1.760
-3.072 -3.331 1.133
Li Sn Rh Ga
2 1 1 1
Cartesian
-0.977 0.182 -2.113
-1.536 -1.665 0.566
1.576 -1.753 -0.880
0.000 0.000 0.000
-0.937 -3.236 -2.427

=====

11.
LaSnPb GGA-PBE optimized geometry; energy above the most stable polymorph in this dataset = 6.69 kcal/mol of atoms; E_tot = -4.501 eV per atom; formation energy from the elements = -0.87 eV per formula unit; magnetic moment = 0.001 μB/cell
1.0
-3.163 -2.900 4.229
-2.404 -1.074 -2.534
3.508 -7.740 -2.684
La Sn Pb
2 2 2
Cartesian
-3.201 -5.658 0.164
1.142 -6.055 -1.153
-1.581 -1.450 2.115
0.000 0.000 0.000
-0.649 -3.317 -0.614
-1.410 -8.396 -0.375

=====

12.
Ac2BPdO6 GGA-PBE optimized geometry; E_tot = -6.943 eV per atom; formation energy from raw total energies = -1.959 eV/atom; magnetic moment = 1.018 μB/cell
1.0
5.169 0.000 0.000
0.000 5.385 0.000
0.000 -2.693 4.664
O Ac Pd B
6 2 1 1
Cartesian
4.144 -1.464 3.954
4.144 0.000 1.419
1.025 1.229 0.710
4.144 1.464 3.954
1.025 2.693 3.244
1.025 4.156 0.710
1.022 0.000 3.109
4.147 2.693 1.555
2.584 0.000 0.000
0.000 0.000 0.000